[1]
Material: Zn2CoSi
Method: DFT, PBEsol
State: relaxed

Summary:
- formation energy without anion corrections (eV/atom) = -0.015
- DOS(E_F) (states/eV per cell) = 2.1
- M_tot (Bohr magnetons per cell) = 0.4

Unit cell a=3.2303 b=3.2303 c=4.8252 alpha=90.00 beta=90.00 gamma=90.00
Sites, in units of the cell vectors:
Zn: 0.0000 0.0000 0.2426
Zn: 0.0000 0.0000 0.7574
Co: 0.5000 0.5000 0.0000
Si: 0.5000 0.5000 0.5000

[2]
Material: Ba2YMn
Method: DFT, PBEsol
State: relaxed

Summary:
- ΔH_f (0 K) (eV/atom) = 0.59
- DOS(E_F) (states/eV per cell) = 5.4
- M_tot (Bohr magnetons per cell) = 2.7

Unit cell a=3.9204 b=3.9204 c=9.3469 alpha=90.00 beta=90.00 gamma=90.00
Sites, in units of the cell vectors:
Ba: 0.0000 0.0000 0.2095
Ba: 0.0000 0.0000 0.7905
Y: 0.5000 0.5000 0.5000
Mn: 0.5000 0.5000 0.0000